*w*
Compound: Cd2InAu2
Source: Alexandria via LeMat-Bulk
Functional: PBE-GGA
Structure: relaxed

Cell: 12.0187 4.6268 8.6752 Å, 90.00 116.01 90.00°
Space group C2/m (No. 12)
Asymmetric unit:
Cd1 0.0042 0.0000 0.3307
Cd2 0.1805 0.0000 0.0575
In1 0.2101 0.5000 0.3247
Au1 0.0537 0.5000 0.8830
Au2 0.1329 0.5000 0.5960

Computed properties:
V (Å³/atom): 21.7
Density of states at the Fermi level (states/eV/atom): 0.308

*x*
Compound: Cd2InAu2
Source: Alexandria via LeMat-Bulk
Functional: PBE-GGA
Structure: relaxed

Cell: 4.0111 4.0111 14.2606 Å, 90.00 90.00 90.00°
Space group I4/mmm (No. 139)
Asymmetric unit:
Cd1 0.0000 0.0000 0.1027
In1 0.0000 0.0000 0.5000
Au1 0.0000 0.5000 0.2500

Computed properties:
V (Å³/atom): 22.9
Density of states at the Fermi level (states/eV/atom): 0.449

Which structure loses on stability? *x* does.